(1)
Below is a relaxed structure of U2HgC, with properties calculated at the PBE level.

a b c (Å): 3.1645 3.1645 9.8786
angles (deg): 80.78 80.78 60.00
Site moments in Bohr magnetons follow the coordinates.
Positions (direct):
U 0.8850 0.8850 0.3451  1.69
C 0.5000 0.5000 0.5000  -0.06
U 0.1150 0.1150 0.6549  1.69
Hg 0.0000 0.0000 0.0000  0.03

Output
formation enthalpy at 0 K: 0.53 eV/f.u.
space group: R-3m
Fermi-level density of states: 8.82 states/eV/cell

=====

(2)
Below is a relaxed structure of LiMn2Fe, with properties calculated at the PBE level.

a b c (Å): 2.3604 3.9048 4.6715
angles (deg): 90.00 90.00 90.00
Site moments in Bohr magnetons follow the coordinates.
Positions (direct):
Mn 0.0000 0.0000 0.9904  -0.34
Li 0.5000 0.5000 0.7500  0.00
Mn 0.0000 0.0000 0.5096  -0.34
Fe 0.5000 0.5000 0.2500  1.69

Output
formation enthalpy at 0 K: 1.38 eV/f.u.
space group: Pmmm
distance to the lowest polymorph of the same formula: 0.122 eV/atom
Fermi-level density of states: 4.69 states/eV/cell

=====

(3)
Below is a relaxed structure of Na2ZnCdN, with properties calculated at the PBE level.

a b c (Å): 5.2163 5.2163 3.7447
angles (deg): 90.00 90.00 90.00
Positions (direct):
Zn 0.0000 0.0000 0.5000
Na 0.0000 0.5000 0.0000
Na 0.5000 0.0000 0.0000
Cd 0.5000 0.5000 0.5000
N 0.0000 0.0000 0.0000

Output
space group: P4/mmm
formation energy from raw total energies: 7.8 kJ/mol of atoms
Fermi-level density of states: 1.51 states/eV/cell

=====

(4)
Below is a relaxed structure of Mg2In3Ni2, with properties calculated at the PBE level.

a b c (Å): 4.1901 5.3512 7.2545
angles (deg): 65.89 73.21 66.95
Positions (direct):
In 0.5000 0.0000 0.0000
Mg 0.8410 0.5022 0.8158
In 0.6348 0.1898 0.5405
Ni 0.1308 0.9326 0.8059
Ni 0.8692 0.0674 0.1941
Mg 0.1590 0.4978 0.1842
In 0.3652 0.8102 0.4595

Output
formation enthalpy at 0 K: -1.02 eV/f.u.
space group: C2/m
Fermi-level density of states: 2.59 states/eV/cell

=====

(5)
Below is a relaxed structure of CsAsPt, with properties calculated at the PBE level.

a b c (Å): 7.1377 7.8467 7.5091
angles (deg): 115.72 90.00 90.00
Positions (direct):
Pt 0.3789 0.8386 0.4437
As 0.8538 0.4116 0.6696
As 0.6462 0.9116 0.6696
As 0.1462 0.5884 0.3304
Cs 0.8729 0.8747 0.1611
Pt 0.1211 0.3386 0.4437
Cs 0.6271 0.3747 0.1611
As 0.3538 0.0884 0.3304
Pt 0.6211 0.1614 0.5563
Pt 0.8789 0.6614 0.5563
Cs 0.3729 0.6253 0.8389
Cs 0.1271 0.1253 0.8389

Output
formation enthalpy at 0 K: -1.64 eV/f.u.
space group: P2_1/c
distance to the lowest polymorph of the same formula: 0.000 eV/atom
Fermi-level density of states: 5.29 states/eV/cell

=====

(6)
Below is a relaxed structure of LiCaYI6, with properties calculated at the PBE level.

a b c (Å): 7.6283 7.6283 14.0040
angles (deg): 90.00 90.00 120.00
Positions (direct):
Y 0.3333 0.6667 0.7500
I 0.6561 0.6535 0.6274
I 0.3465 0.3439 0.8726
I 0.9974 0.6535 0.8726
Li 0.3333 0.6667 0.2500
I 0.3465 0.0026 0.6274
I 0.6561 0.0026 0.8726
I 0.6535 0.6561 0.1274
I 0.3439 0.9974 0.1274
I 0.3439 0.3465 0.3726
Li 0.6667 0.3333 0.7500
Ca 0.0000 0.0000 0.5000
I 0.6535 0.9974 0.3726
Ca 0.0000 0.0000 0.0000
I 0.0026 0.6561 0.3726
Y 0.6667 0.3333 0.2500
I 0.9974 0.3439 0.6274
I 0.0026 0.3465 0.1274

Output
space group: P-31c
formation energy from raw total energies: -133.7 kJ/mol of atoms
Fermi-level density of states: 0.00 states/eV/cell

=====

(7)
Below is a relaxed structure of KNiSb2, with properties calculated at the PBE level.

a b c (Å): 5.9156 5.9156 9.0639
angles (deg): 70.95 70.95 90.00
Positions (direct):
Sb 0.8748 0.1250 0.2500
K 0.2500 0.7500 0.5000
Sb 0.8752 0.6250 0.2500
Sb 0.8750 0.1248 0.7500
K 0.5000 0.5000 0.0000
Ni 0.0000 0.0000 0.0000
Ni 0.7500 0.2500 0.5000
Sb 0.3750 0.1252 0.7500

Output
space group: I4_1/amd
formation energy from raw total energies: -2.6 kJ/mol of atoms
distance to the lowest polymorph of the same formula: 0.265 eV/atom
Fermi-level density of states: 8.61 states/eV/cell

=====

(8)
Below is a relaxed structure of HfGa3Ru, with properties calculated at the PBE level.

a b c (Å): 4.9615 4.9615 4.9615
angles (deg): 90.00 90.00 90.00
Positions (direct):
Ga 0.5000 0.0000 0.0000
Ru 0.5000 0.5000 0.5000
Ga 0.0000 0.5000 0.0000
Ga 0.0000 0.0000 0.5000
Hf 0.0000 0.0000 0.0000

Output
formation enthalpy at 0 K: 6.89 eV/f.u.
space group: Pm-3m
distance to the lowest polymorph of the same formula: 1.100 eV/atom
Fermi-level density of states: 11.24 states/eV/cell

=====

(9)
Below is a relaxed structure of MnV5Mo4, with properties calculated at the PBE level.

a b c (Å): 3.0371 3.0371 15.2043
angles (deg): 90.00 90.00 90.00
Positions (direct):
V 0.5000 0.5000 0.5000
V 0.5000 0.5000 0.2957
Mo 0.0000 0.0000 0.1943
Mo 0.0000 0.0000 0.6020
Mo 0.0000 0.0000 0.8057
Mn 0.0000 0.0000 0.0000
Mo 0.0000 0.0000 0.3980
V 0.5000 0.5000 0.7043
V 0.5000 0.5000 0.9072
V 0.5000 0.5000 0.0928

Output
formation enthalpy at 0 K: -1.36 eV/f.u.
space group: P4/mmm
Fermi-level density of states: 6.64 states/eV/cell

=====

(10)
Below is a relaxed structure of ZnCu2Pd9, with properties calculated at the PBE level.

a b c (Å): 3.8994 3.8994 11.6980
angles (deg): 90.00 90.00 90.00
Positions (direct):
Pd 0.5000 0.5000 0.0000
Pd 0.5000 0.0000 0.8317
Pd 0.5000 0.0000 0.1683
Pd 0.5000 0.5000 0.6655
Pd 0.0000 0.5000 0.8317
Pd 0.5000 0.5000 0.3345
Pd 0.0000 0.5000 0.5000
Zn 0.0000 0.0000 0.0000
Pd 0.0000 0.5000 0.1683
Cu 0.0000 0.0000 0.3340
Cu 0.0000 0.0000 0.6660
Pd 0.5000 0.0000 0.5000

Output
formation enthalpy at 0 K: -1.63 eV/f.u.
space group: P4/mmm
Fermi-level density of states: 16.72 states/eV/cell

=====

(11)
Below is a relaxed structure of Er6ScZn, with properties calculated at the PBE level.

a b c (Å): 9.0109 8.2809 6.1192
angles (deg): 47.44 42.55 57.00
Positions (direct):
Zn 0.0000 0.0000 0.0000
Er 0.4299 0.7600 0.8506
Er 0.7602 0.9595 0.7101
Er 0.5701 0.2400 0.1494
Er 0.0406 0.4299 0.7695
Er 0.9594 0.5701 0.2305
Er 0.2398 0.0405 0.2899
Sc 0.5000 0.5000 0.5000

Output
formation enthalpy at 0 K: 0.46 eV/f.u.
space group: R-3
Fermi-level density of states: 12.08 states/eV/cell

=====

(12)
Below is a relaxed structure of PdAu2S, with properties calculated at the PBE level.

a b c (Å): 4.6019 4.6019 4.6019
angles (deg): 60.00 60.00 60.00
Positions (direct):
S 0.0000 0.0000 0.0000
Pd 0.5000 0.5000 0.5000
Au 0.7500 0.7500 0.7500
Au 0.2500 0.2500 0.2500

Output
space group: Fm-3m
formation energy from raw total energies: 32.7 kJ/mol of atoms
distance to the lowest polymorph of the same formula: 0.135 eV/atom
Fermi-level density of states: 3.24 states/eV/cell

=====

(13)
Below is a relaxed structure of Li2BeSb, with properties calculated at the PBE level.

a b c (Å): 7.5947 7.5947 5.9287
angles (deg): 50.17 50.17 90.00
Positions (direct):
Be 0.5000 0.5000 0.0000
Sb 0.7500 0.2500 0.5000
Li 0.5904 0.1250 0.2500
Li 0.3750 0.4096 0.7500
Be 0.2500 0.7500 0.5000
Li 0.8750 0.8404 0.7500
Li 0.1596 0.6250 0.2500
Sb 0.0000 0.0000 0.0000

Output
space group: I-42d
formation energy from raw total energies: 18.7 kJ/mol of atoms
distance to the lowest polymorph of the same formula: 0.325 eV/atom
Fermi-level density of states: 5.10 states/eV/cell

=====

(14)
Below is a relaxed structure of RbPtI2O8, with properties calculated at the PBE level.

a b c (Å): 5.7262 5.7262 7.8000
angles (deg): 90.00 90.00 120.00
Positions (direct):
Pt 0.0000 0.0000 0.5000
I 0.6667 0.3333 0.3550
O 0.3333 0.6667 0.8743
I 0.3333 0.6667 0.6450
O 0.6667 0.3333 0.1257
O 0.9928 0.7118 0.3507
O 0.0072 0.2882 0.6493
O 0.7118 0.7190 0.6493
O 0.2882 0.2810 0.3507
Rb 0.0000 0.0000 0.0000
O 0.7190 0.0072 0.3507
O 0.2810 0.9928 0.6493

Output
space group: P-3
formation energy from raw total energies: -44.3 kJ/mol of atoms
Fermi-level density of states: 7.24 states/eV/cell